Material: Ho2Ga12Ni
Method: DFT, PBE
State: relaxed

Energy (eV per atom): -3.762
Total magnetization (Bohr magnetons per cell): 0.00
Density (g/cm3): 7.33
Crystal system: tetragonal
Energy of formation from the pure elements (eV/atom): -0.345

Lattice parameters (Å, degrees): 6.034 6.034 15.257 90.00 90.00 90.00
Atoms (fractional coordinates):
Ho (0.500, 0.000, 0.240)
Ho (0.000, 0.500, 0.240)
Ho (0.000, 0.500, 0.760)
Ho (0.500, 0.000, 0.760)
Ga (0.500, 0.500, 0.814)
Ga (0.000, 0.000, 0.814)
Ga (0.750, 0.750, 0.915)
Ga (0.250, 0.750, 0.915)
Ga (0.000, 0.000, 0.344)
Ga (0.250, 0.750, 0.085)
Ga (0.834, 0.334, 0.570)
Ga (0.500, 0.500, 0.344)
Ga (0.250, 0.250, 0.915)
Ga (0.750, 0.750, 0.085)
Ga (0.334, 0.166, 0.570)
Ga (0.666, 0.166, 0.430)
Ga (0.000, 0.000, 0.656)
Ga (0.166, 0.334, 0.430)
Ga (0.250, 0.250, 0.085)
Ga (0.834, 0.666, 0.430)
Ga (0.666, 0.834, 0.570)
Ga (0.000, 0.000, 0.186)
Ga (0.166, 0.666, 0.570)
Ga (0.500, 0.500, 0.656)
Ga (0.750, 0.250, 0.915)
Ga (0.500, 0.500, 0.186)
Ga (0.334, 0.834, 0.430)
Ga (0.750, 0.250, 0.085)
Ni (0.500, 0.000, 0.000)
Ni (0.000, 0.500, 0.000)